Record 1
Entry from Alexandria via LeMat-Bulk: a relaxed AlH3Pb crystal (PBE).

a = 4.2804 Å, b = 4.2804 Å, c = 4.2804 Å
α = 90.00°, β = 90.00°, γ = 90.00°
Space group Pm-3m (No. 221)
Inequivalent atoms, fractional coordinates:
Al (0.0000, 0.0000, 0.0000) (multiplicity 1)
H (0.0000, 0.5000, 0.5000) (multiplicity 3)
Pb (0.5000, 0.5000, 0.5000) (multiplicity 1)

Polymorph energy (0 for the lowest one): 331 meV per atom
N(E_F): 1.4 states/eV/f.u.
M_tot: 0.00 μB/cell


Record 2
Entry from Alexandria via LeMat-Bulk: a relaxed LaBe2Se crystal (PBE).

a = 3.8765 Å, b = 5.9684 Å, c = 6.8927 Å
α = 90.00°, β = 90.00°, γ = 90.00°
Space group Imm2 (No. 44)
Inequivalent atoms, fractional coordinates:
La (0.0000, 0.0000, 0.0000) (multiplicity 2)
Be (0.0000, 0.0000, 0.5381) (multiplicity 2)
Be (0.0000, 0.5000, 0.1821) (multiplicity 2)
Se (0.0000, 0.5000, 0.8556) (multiplicity 2)

N(E_F): 1.5 states/eV/f.u.
M_tot: 0.00 μB/cell
Raw formation energy: -0.2040 eV/atom


Record 3
Entry from Alexandria via LeMat-Bulk: a relaxed LuScPdPt crystal (PBE).

a = 6.7371 Å, b = 6.7371 Å, c = 6.7371 Å
α = 90.00°, β = 90.00°, γ = 90.00°
Space group F-43m (No. 216)
Inequivalent atoms, fractional coordinates:
Lu (0.0000, 0.0000, 0.0000) (multiplicity 4)
Sc (0.0000, 0.0000, 0.5000) (multiplicity 4)
Pd (0.2500, 0.2500, 0.2500) (multiplicity 4)
Pt (0.2500, 0.2500, 0.7500) (multiplicity 4)

N(E_F): 3.3 states/eV/f.u.
M_tot: 0.00 μB/cell
Energy: -106.2 eV per cell


Record 4
Entry from Alexandria via LeMat-Bulk: a relaxed Sc8Co2Ir crystal (PBE).

a = 7.8488 Å, b = 11.5749 Å, c = 5.0584 Å
α = 90.00°, β = 106.17°, γ = 90.00°
Space group C2/m (No. 12)
Inequivalent atoms, fractional coordinates:
Sc (0.0000, 0.2256, 0.0000) (multiplicity 4)
Sc (0.1348, 0.5000, 0.8140) (multiplicity 4)
Sc (0.1966, 0.1290, 0.5925) (multiplicity 8)
Co (0.0000, 0.3122, 0.5000) (multiplicity 4)
Ir (0.0000, 0.0000, 0.0000) (multiplicity 2)

N(E_F): 11.2 states/eV/f.u.
M_tot: 0.00 μB/cell
Energy: -153.8 eV per cell


Record 5
Entry from Alexandria via LeMat-Bulk: a relaxed SmSc2Se3 crystal (PBE).

a = 3.9553 Å, b = 5.6553 Å, c = 11.9822 Å
α = 90.00°, β = 90.00°, γ = 90.00°
Space group Immm (No. 71)
Inequivalent atoms, fractional coordinates:
Sm (0.0000, 0.0000, 0.0000) (multiplicity 2)
Sc (0.0000, 0.0000, 0.3442) (multiplicity 4)
Se (0.0000, 0.5000, 0.0000) (multiplicity 2)
Se (0.0000, 0.5000, 0.3180) (multiplicity 4)

Polymorph energy (0 for the lowest one): 0 meV per atom
N(E_F): 3.4 states/eV/f.u.
M_tot: 0.00 μB/cell
Raw formation energy: -1.6416 eV/atom


Record 6
Entry from Alexandria via LeMat-Bulk: a relaxed ScTe2Ir crystal (PBE).

a = 4.1381 Å, b = 4.1381 Å, c = 21.7952 Å
α = 90.00°, β = 90.00°, γ = 120.00°
Space group R3m (No. 160, hexagonal axes)
Inequivalent atoms, fractional coordinates:
Sc (0.0000, 0.0000, 0.0000) (multiplicity 3)
Te (0.0000, 0.0000, 0.2572) (multiplicity 3)
Te (0.0000, 0.0000, 0.4505) (multiplicity 3)
Ir (0.0000, 0.0000, 0.7413) (multiplicity 3)

Polymorph energy (0 for the lowest one): 231 meV per atom
N(E_F): 4.8 states/eV/f.u.
M_tot: 0.00 μB/cell
Raw formation energy: -0.4525 eV/atom


Record 7
Entry from Alexandria via LeMat-Bulk: a relaxed ScCuCl3 crystal (PBE).

a = 4.9983 Å, b = 4.9983 Å, c = 4.9983 Å
α = 90.00°, β = 90.00°, γ = 90.00°
Space group Pm-3m (No. 221)
Inequivalent atoms, fractional coordinates:
Sc (0.0000, 0.0000, 0.0000) (multiplicity 1)
Cu (0.5000, 0.5000, 0.5000) (multiplicity 1)
Cl (0.0000, 0.0000, 0.5000) (multiplicity 3)

Polymorph energy (0 for the lowest one): 0 meV per atom
N(E_F): 4.4 states/eV/f.u.
M_tot: 0.75 μB/cell
Raw formation energy: -0.9459 eV/atom


Record 8
Entry from Alexandria via LeMat-Bulk: a relaxed Ta2AlFe crystal (PBE).

a = 3.5286 Å, b = 4.3552 Å, c = 8.1743 Å
α = 90.00°, β = 90.00°, γ = 90.00°
Space group Cmm2 (No. 35)
Inequivalent atoms, fractional coordinates:
Ta (0.0000, 0.0000, 0.0000) (multiplicity 2)
Ta (0.0000, 0.5000, 0.2863) (multiplicity 2)
Al (0.0000, 0.5000, 0.7343) (multiplicity 2)
Fe (0.0000, 0.0000, 0.5251) (multiplicity 2)

N(E_F): 2.6 states/eV/f.u.
M_tot: 3.33 μB/cell
Energy: -72.6 eV per cell


Record 9
Entry from Alexandria via LeMat-Bulk: a relaxed Na3FeCl crystal (PBE).

a = 5.3216 Å, b = 5.3216 Å, c = 5.3216 Å
α = 90.00°, β = 90.00°, γ = 90.00°
Space group Pm-3m (No. 221)
Inequivalent atoms, fractional coordinates:
Na (0.0000, 0.0000, 0.5000) (multiplicity 3)
Fe (0.5000, 0.5000, 0.5000) (multiplicity 1)
Cl (0.0000, 0.0000, 0.0000) (multiplicity 1)

Polymorph energy (0 for the lowest one): 0 meV per atom
N(E_F): 4.2 states/eV/f.u.
M_tot: 3.33 μB/cell
Raw formation energy: 0.0494 eV/atom


Record 10
Entry from Alexandria via LeMat-Bulk: a relaxed Hg2OsCl8 crystal (PBE).

a = 10.8572 Å, b = 10.4774 Å, c = 7.1842 Å
α = 90.00°, β = 108.47°, γ = 90.00°
Space group C2/m (No. 12)
Inequivalent atoms, fractional coordinates:
Hg (0.1798, 0.0000, 0.0963) (multiplicity 4)
Os (0.0000, 0.5000, 0.5000) (multiplicity 2)
Cl (0.0292, 0.0000, 0.7632) (multiplicity 4)
Cl (0.1066, 0.5000, 0.2721) (multiplicity 4)
Cl (0.1462, 0.3449, 0.6841) (multiplicity 8)

M_tot: 3.94 μB/cell
Raw formation energy: -0.4962 eV/atom


Record 11
Entry from Alexandria via LeMat-Bulk: a relaxed ReTeP crystal (PBE).

a = 3.2838 Å, b = 5.1015 Å, c = 14.6522 Å
α = 90.00°, β = 90.00°, γ = 90.00°
Space group Fmm2 (No. 42)
Inequivalent atoms, fractional coordinates:
Re (0.0000, 0.0000, 0.0000) (multiplicity 4)
Te (0.0000, 0.0000, 0.3350) (multiplicity 4)
P (0.0000, 0.0000, 0.6112) (multiplicity 4)

Polymorph energy (0 for the lowest one): 355 meV per atom
N(E_F): 2.2 states/eV/f.u.
M_tot: 0.00 μB/cell
Raw formation energy: 0.5395 eV/atom


Record 12
Entry from Alexandria via LeMat-Bulk: a relaxed LaAgIr crystal (PBE).

a = 3.3423 Å, b = 4.0073 Å, c = 9.7756 Å
α = 90.00°, β = 90.00°, γ = 90.00°
Space group Imm2 (No. 44)
Inequivalent atoms, fractional coordinates:
La (0.0000, 0.0000, 0.0000) (multiplicity 2)
Ag (0.0000, 0.0000, 0.6957) (multiplicity 2)
Ir (0.0000, 0.0000, 0.3418) (multiplicity 2)

Polymorph energy (0 for the lowest one): 278 meV per atom
N(E_F): 2.2 states/eV/f.u.
M_tot: 0.00 μB/cell


What is the M_tot in the tenth record? 3.94 μB/cell